{"formula": "TbNd2Y2", "functional": "PBE-GGA", "state": "relaxed", "cell": [[6.584, 0.000, -0.666], [0.000, 12.452, 0.000], [-1.874, 0.000, 8.491]], "species": ["Tb", "Tb", "Tb", "Tb", "Nd", "Nd", "Nd", "Nd", "Nd", "Nd", "Nd", "Nd", "Y", "Y", "Y", "Y", "Y", "Y", "Y", "Y"], "fractional_positions": [[0.242, 0.345, 0.371], [0.758, 0.655, 0.629], [0.742, 0.155, 0.371], [0.258, 0.845, 0.629], [0.759, 0.953, 0.089], [0.259, 0.547, 0.089], [0.741, 0.453, 0.911], [0.241, 0.047, 0.911], [0.745, 0.454, 0.354], [0.245, 0.046, 0.354], [0.755, 0.954, 0.646], [0.255, 0.546, 0.646], [0.422, 0.294, 0.048], [0.922, 0.206, 0.048], [0.078, 0.794, 0.952], [0.578, 0.706, 0.952], [0.988, 0.697, 0.299], [0.488, 0.803, 0.299], [0.512, 0.197, 0.701], [0.012, 0.303, 0.701]], "space_group": "No. 14", "relative_energy_mev_per_atom": 119, "energy_ev_per_atom": -5.28, "formation_enthalpy_0k_ev_per_atom": 0.136}